A plane-wave DFT calculation with PBE was carried out for an optimized crystal structure of LaFePt2.

The energy of formation is 0.002 eV/atom. The calculation puts the energy at -0.468 Ry per atom. The polymorph energy (0 for the lowest one) comes out at 0.677 eV per atom.

Lattice parameters (Å, degrees): 9.666 9.666 9.666 17.64 17.64 17.64
Each line ends with the local moment (μB).
Sites, in units of the cell vectors:
Fe1 0.250 0.250 0.250  3.06
La1 0.750 0.750 0.750  -0.56
Pt1 0.988 0.988 0.988  0.15
Pt2 0.512 0.512 0.512  0.15

---

A plane-wave DFT calculation with PBE was carried out for an optimized crystal structure of HgMo2Ir.

The energy of formation is 0.394 eV/atom. The calculation puts the energy at -0.537 Ry per atom.

Lattice parameters (Å, degrees): 3.927 3.926 4.243 90.00 90.00 90.00
Sites, in units of the cell vectors:
Hg1 0.500 0.000 0.500
Ir1 0.000 0.500 0.500
Mo1 0.000 0.000 0.000
Mo2 0.500 0.500 0.000

---

A plane-wave DFT calculation with PBE was carried out for an optimized crystal structure of SrAsPdRh.

The energy of formation is -0.644 eV/atom. The calculation puts the energy at -0.394 Ry per atom.

Lattice parameters (Å, degrees): 4.003 4.003 10.816 90.00 90.00 90.00
Sites, in units of the cell vectors:
Sr1 0.750 0.750 0.281
Sr2 0.250 0.250 0.719
As1 0.750 0.750 0.866
As2 0.250 0.250 0.134
Pd1 0.250 0.750 0.500
Pd2 0.750 0.250 0.500
Rh1 0.750 0.250 0.000
Rh2 0.250 0.750 0.000

---

A plane-wave DFT calculation with PBE was carried out for an optimized crystal structure of Hf6AlZn5.

The energy of formation is -0.199 eV/atom. The calculation puts the energy at -0.442 Ry per atom.

Lattice parameters (Å, degrees): 4.680 8.112 8.112 119.90 106.78 106.78
Sites, in units of the cell vectors:
Zn1 0.500 0.166 0.834
Zn2 0.000 0.333 0.667
Zn3 0.500 0.500 0.500
Zn4 0.000 0.667 0.333
Zn5 0.500 0.834 0.166
Hf1 0.252 0.084 0.420
Hf2 0.748 0.580 0.916
Hf3 0.754 0.254 0.254
Hf4 0.246 0.746 0.746
Hf5 0.252 0.420 0.084
Hf6 0.748 0.916 0.580
Al1 0.000 0.000 0.000

---

A plane-wave DFT calculation with PBE was carried out for an optimized crystal structure of PmNd5In2.

The energy of formation is -0.276 eV/atom. The calculation puts the energy at -0.333 Ry per atom. The polymorph energy (0 for the lowest one) comes out at 0.000 eV per atom.

Lattice parameters (Å, degrees): 4.984 7.048 14.094 90.00 90.00 90.00
Sites, in units of the cell vectors:
Pm1 0.000 0.000 0.500
Pm2 0.000 0.500 0.000
Nd1 0.000 0.000 0.000
Nd2 0.000 0.500 0.500
Nd3 0.000 0.498 0.750
Nd4 0.000 0.502 0.250
Nd5 0.000 0.002 0.250
Nd6 0.000 0.998 0.750
Nd7 0.500 0.249 0.875
Nd8 0.500 0.751 0.125
Nd9 0.500 0.251 0.375
Nd10 0.500 0.749 0.625
In1 0.500 0.248 0.625
In2 0.500 0.752 0.375
In3 0.500 0.252 0.125
In4 0.500 0.748 0.875

---

A plane-wave DFT calculation with PBE was carried out for an optimized crystal structure of CsCdHg2Bi.

The energy of formation is -0.179 eV/atom. The calculation puts the energy at -0.105 Ry per atom. The polymorph energy (0 for the lowest one) comes out at 0.000 eV per atom.

Lattice parameters (Å, degrees): 5.192 5.278 7.368 110.99 110.63 90.00
Sites, in units of the cell vectors:
Cs1 0.446 0.446 0.891
Cd1 0.192 0.692 0.385
Hg1 0.687 0.187 0.375
Hg2 0.065 0.065 0.129
Bi1 0.822 0.822 0.645